No. 1
Here is CoPt at its PBEsol-relaxed geometry from the Alexandria database. Energies are from meta-GGA SCAN.

Cell lengths 2.667, 2.667, 7.219 Å; angles 90.00, 90.00, 90.00 degrees
Site moments in Bohr magnetons follow the coordinates.
Positions (direct):
1 Co 0.500 0.000 0.106  2.02
2 Co 0.000 0.500 0.894  2.02
3 Pt 0.500 0.000 0.645  0.32
4 Pt 0.000 0.500 0.355  0.32

Output
N(E_F) = 1.90 states/eV/f.u.
Total moment = 4.6 μB per cell
Calculated density = 16.43 g/cm3
ΔE_f = -0.1 eV/f.u.

No. 2
Here is CoPt at its PBEsol-relaxed geometry from the Alexandria database. Energies are from meta-GGA SCAN.

Cell lengths 2.653, 2.653, 3.659 Å; angles 90.00, 90.00, 90.00 degrees
Site moments in Bohr magnetons follow the coordinates.
Positions (direct):
1 Co 0.000 0.000 0.000  2.13
2 Pt 0.500 0.500 0.500  0.37

Output
N(E_F) = 1.46 states/eV/f.u.
Total moment = 2.4 μB per cell
Calculated density = 16.38 g/cm3
ΔE_f = -0.4 eV/f.u.

No. 3
Here is CoPt3 at its PBEsol-relaxed geometry from the Alexandria database. Energies are from meta-GGA SCAN.

Cell lengths 3.823, 3.823, 3.823 Å; angles 90.00, 90.00, 90.00 degrees
Site moments in Bohr magnetons follow the coordinates.
Positions (direct):
1 Co 0.000 0.000 0.000  2.24
2 Pt 0.000 0.500 0.500  0.24
3 Pt 0.500 0.000 0.500  0.24
4 Pt 0.500 0.500 0.000  0.24

Output
N(E_F) = 3.02 states/eV/f.u.
Total moment = 2.9 μB per cell
Calculated density = 19.14 g/cm3
ΔE_f = -0.7 eV/f.u.

No. 4
Here is CoPt4 at its PBEsol-relaxed geometry from the Alexandria database. Energies are from meta-GGA SCAN.

Cell lengths 3.843, 4.711, 4.711 Å; angles 80.42, 65.93, 65.93 degrees
Site moments in Bohr magnetons follow the coordinates.
Positions (direct):
1 Co 0.000 0.000 0.000  2.18
2 Pt 0.797 0.600 0.806  0.39
3 Pt 0.203 0.400 0.194  0.39
4 Pt 0.603 0.194 0.600  0.39
5 Pt 0.397 0.806 0.400  0.39

Output
N(E_F) = 5.10 states/eV/f.u.
Total moment = 3.6 μB per cell
Calculated density = 19.60 g/cm3
ΔE_f = -0.4 eV/f.u.